# PBE-GGA Sc2PbO, relaxed
# Crystal system: monoclinic
# Final energy in eV per atom: -7.05
# Fermi-level density of states in states/eV/cell: 3.8
# Uncorrected formation energy in eV/atom: -1.7198
# M_tot in μB per formula unit: 0.000
# Polymorph energy (0 for the lowest one) in meV/atom: 0
data_Sc2PbO
_cell_length_a 6.024
_cell_length_b 6.024
_cell_length_c 8.384
_cell_angle_alpha 90.00
_cell_angle_beta 90.05
_cell_angle_gamma 90.00
_space_group_name_H-M_alt 'C 1 2/m 1'
_space_group_IT_number 12
loop_
_space_group_symop_operation_xyz
'x,y,z'
'-x,-y,-z'
'-x,y,-z'
'x,-y,z'
'x+1/2,y+1/2,z'
'-x+1/2,-y+1/2,-z'
'-x+1/2,y+1/2,-z'
'x+1/2,-y+1/2,z'
loop_
_atom_site_label
_atom_site_fract_x
_atom_site_fract_y
_atom_site_fract_z
_atom_site_occupancy
Sc1 0.000 0.250 0.000 1
Sc2 0.250 0.000 0.318 1
Pb1 0.250 0.000 0.685 1
O1 0.250 0.000 0.064 1



# PBE-GGA RbSrTa, relaxed
# Crystal system: triclinic
# Final energy in eV per atom: -3.93
# Fermi-level density of states in states/eV/cell: 8.5
# Energy relative to the elements in kJ per mole of atoms: 87.2
# M_tot in μB per formula unit: 0.000
# Polymorph energy (0 for the lowest one) in meV/atom: 444
data_RbSrTa
_cell_length_a 3.477
_cell_length_b 9.448
_cell_length_c 9.531
_cell_angle_alpha 117.03
_cell_angle_beta 97.40
_cell_angle_gamma 98.24
_space_group_name_H-M_alt 'P 1'
_space_group_IT_number 1
loop_
_space_group_symop_operation_xyz
'x,y,z'
loop_
_atom_site_label
_atom_site_fract_x
_atom_site_fract_y
_atom_site_fract_z
_atom_site_occupancy
Rb1 0.000 0.000 0.000 1
Rb2 0.497 0.500 0.500 1
Sr1 0.126 0.304 0.801 1
Sr2 0.872 0.697 0.199 1
Ta1 0.307 0.950 0.573 1
Ta2 0.690 0.050 0.428 1



# PBE-GGA PaCuSnPd, relaxed
# Crystal system: cubic
# Final energy in eV per atom: -6.10
# Fermi-level density of states in states/eV/cell: 9.8
# Energy relative to the elements in kJ per mole of atoms: -38.8
# M_tot in μB per formula unit: 0.000
data_PaCuSnPd
_cell_length_a 6.790
_cell_length_b 6.790
_cell_length_c 6.790
_cell_angle_alpha 90.00
_cell_angle_beta 90.00
_cell_angle_gamma 90.00
_space_group_name_H-M_alt 'F -4 3 m'
_space_group_IT_number 216
_space_group_name_Hall 'F -4 2 3'
loop_
_atom_site_label
_atom_site_fract_x
_atom_site_fract_y
_atom_site_fract_z
_atom_site_occupancy
Pa1 0.000 0.000 0.000 1
Cu1 0.250 0.250 0.250 1
Sn1 0.000 0.000 0.500 1
Pd1 0.250 0.250 0.750 1



# PBE-GGA RbTe2Au, relaxed
# Crystal system: tetragonal
# Final energy in eV per atom: -3.04
# Fermi-level density of states in states/eV/cell: 2.0
# Uncorrected formation energy in eV/atom: -0.4096
# M_tot in μB per formula unit: 0.000
data_RbTe2Au
_cell_length_a 8.702
_cell_length_b 8.702
_cell_length_c 7.228
_cell_angle_alpha 90.00
_cell_angle_beta 90.00
_cell_angle_gamma 90.00
_space_group_name_H-M_alt 'I -4 2 d'
_space_group_IT_number 122
_space_group_name_Hall 'I -4 2bw'
loop_
_atom_site_label
_atom_site_fract_x
_atom_site_fract_y
_atom_site_fract_z
_atom_site_occupancy
Rb1 0.000 0.000 0.000 1
Te1 0.162 0.250 0.625 1
Au1 0.000 0.000 0.500 1



# PBE-GGA Rh2AuN, relaxed
# Crystal system: tetragonal
# Final energy in eV per atom: -6.30
# Fermi-level density of states in states/eV/cell: 4.8
# Uncorrected formation energy in eV/atom: 0.2747
# M_tot in μB per formula unit: 0.000
data_Rh2AuN
_cell_length_a 6.189
_cell_length_b 6.189
_cell_length_c 6.258
_cell_angle_alpha 90.00
_cell_angle_beta 90.00
_cell_angle_gamma 90.00
_space_group_name_H-M_alt 'I -4 2 d'
_space_group_IT_number 122
_space_group_name_Hall 'I -4 2bw'
loop_
_atom_site_label
_atom_site_fract_x
_atom_site_fract_y
_atom_site_fract_z
_atom_site_occupancy
Rh1 0.131 0.750 0.125 1
Au1 0.000 0.000 0.500 1
N1 0.000 0.000 0.000 1



# PBE-GGA NdSc2Zn, relaxed
# Crystal system: trigonal
# Final energy in eV per atom: -4.70
# Fermi-level density of states in states/eV/cell: 14.8
# Energy relative to the elements in kJ per mole of atoms: -1.9
# M_tot in μB per formula unit: 0.000
# Polymorph energy (0 for the lowest one) in meV/atom: 130
data_NdSc2Zn
_cell_length_a 3.4196
_cell_length_b 3.4196
_cell_length_c 29.7313
_cell_angle_alpha 90.00
_cell_angle_beta 90.00
_cell_angle_gamma 120.00
_space_group_name_H-M_alt 'R 3 m'
_space_group_IT_number 160
_space_group_name_Hall 'R 3 -2"'
loop_
_atom_site_label
_atom_site_fract_x
_atom_site_fract_y
_atom_site_fract_z
_atom_site_occupancy
Nd1 0.0000 0.0000 0.0000 1
Sc1 0.0000 0.0000 0.5686 1
Sc2 0.0000 0.0000 0.7629 1
Zn1 0.0000 0.0000 0.1654 1



# PBE-GGA Ce2NdHg8, relaxed
# Crystal system: orthorhombic
# Final energy in eV per atom: -2.03
# Fermi-level density of states in states/eV/cell: 34.6
# Energy relative to the elements in kJ per mole of atoms: -28.4
# M_tot in μB per formula unit: 1.874
# Polymorph energy (0 for the lowest one) in meV/atom: 7
data_Ce2NdHg8
_cell_length_a 5.252
_cell_length_b 7.388
_cell_length_c 15.079
_cell_angle_alpha 90.00
_cell_angle_beta 90.00
_cell_angle_gamma 90.00
_space_group_name_H-M_alt 'I m m m'
_space_group_IT_number 71
_space_group_name_Hall '-I 2 2'
loop_
_atom_site_label
_atom_site_fract_x
_atom_site_fract_y
_atom_site_fract_z
_atom_site_occupancy
Ce1 0.000 0.000 0.190 1
Nd1 0.000 0.000 0.500 1
Hg1 0.000 0.214 0.000 1
Hg2 0.000 0.286 0.352 1
Hg3 0.000 0.500 0.160 1



# PBE-GGA Li3CdPd2, relaxed
# Crystal system: monoclinic
# Final energy in eV per atom: -3.23
# Fermi-level density of states in states/eV/cell: 5.1
# Energy relative to the elements in kJ per mole of atoms: -37.9
# M_tot in μB per formula unit: 0.000
# Polymorph energy (0 for the lowest one) in meV/atom: 0
data_Li3CdPd2
_cell_length_a 7.015
_cell_length_b 7.587
_cell_length_c 7.082
_cell_angle_alpha 90.00
_cell_angle_beta 103.76
_cell_angle_gamma 90.00
_space_group_name_H-M_alt 'C 1 2/c 1'
_space_group_IT_number 15
loop_
_space_group_symop_operation_xyz
'x,y,z'
'-x,-y,-z'
'-x,y,-z+1/2'
'x,-y,z+1/2'
'x+1/2,y+1/2,z'
'-x+1/2,-y+1/2,-z'
'-x+1/2,y+1/2,-z+1/2'
'x+1/2,-y+1/2,z+1/2'
loop_
_atom_site_label
_atom_site_fract_x
_atom_site_fract_y
_atom_site_fract_z
_atom_site_occupancy
Li1 0.000 0.073 0.250 1
Li2 0.237 0.091 0.997 1
Cd1 0.000 0.417 0.250 1
Pd1 0.126 0.250 0.626 1